[1]
Density functional theory data (SCAN) for a PBEsol-optimized structure of YGa3Ni2.

```
6
Lattice="-0.297 1.222 3.740 4.866 -1.454 0.861 -1.008 4.777 -1.642" Properties=species:S:1:pos:R:3 pbc="T T T"
Y 0.000 0.000 0.000
Ni 0.950 2.700 -0.807
Ni 2.908 0.623 0.027
Ga 2.285 -0.116 2.300
Ga 1.781 2.273 1.480
Ga -0.653 3.000 1.049
```

Computed properties:
Raw total energy (eV per atom): -18.8670
Formation energy (meV/atom): -662.2

---

[2]
Density functional theory data (SCAN) for a PBEsol-optimized structure of LuSnPt.

```
9
Lattice="3.894 0.000 0.000 0.000 7.348 0.000 0.000 -3.674 6.364" Properties=species:S:1:pos:R:3 pbc="T T T"
Lu 0.000 2.970 0.000
Lu 0.000 2.189 3.792
Lu 0.000 -1.485 2.572
Sn 1.947 -2.713 4.698
Sn 1.947 5.425 0.000
Sn 1.947 0.962 1.666
Pt 1.947 0.000 4.243
Pt 0.000 0.000 0.000
Pt 1.947 3.674 2.121
```

Computed properties:
Raw total energy (eV per atom): -55.0995
Formation energy (meV/atom): -1279.9

---

[3]
Density functional theory data (SCAN) for a PBEsol-optimized structure of K3Zn.

```
4
Lattice="-3.265 -4.022 2.428 3.431 -4.061 -2.113 3.209 0.250 4.730" Properties=species:S:1:pos:R:3 pbc="T T T"
K 3.320 -1.906 1.308
K -0.028 -1.886 3.579
K 0.083 -4.041 0.157
Zn 0.000 0.000 0.000
```

Computed properties:
Raw total energy (eV per atom): -9.4299
Formation energy (meV/atom): 195.5

---

[4]
Density functional theory data (SCAN) for a PBEsol-optimized structure of La2SbIr.

```
4
Lattice="4.484 0.000 0.000 2.242 3.883 0.000 2.242 1.294 7.425" Properties=species:S:1:pos:R:3 pbc="T T T"
Ir 2.242 1.294 2.527
La 6.726 3.883 0.939
La 6.726 3.883 4.706
Sb 4.484 2.589 2.967
```

Computed properties:
Formation energy without anion corrections (meV per atom): -780.3
Raw total energy (eV per atom): -49.4228

---

[5]
Density functional theory data (SCAN) for a PBEsol-optimized structure of CrIr2W.

```
4
Lattice="2.704 0.000 0.000 0.000 2.704 0.000 0.000 0.000 7.515" Properties=species:S:1:pos:R:3 pbc="T T T"
Cr 1.352 1.352 3.757
Ir 0.000 0.000 5.529
Ir 0.000 0.000 1.985
W 1.352 1.352 0.000
```

Computed properties:
Raw total energy (eV per atom): -57.8577
Relative energy among the computed polymorphs (meV/atom): 70
Formation energy (meV/atom): -290.0

---

[6]
Density functional theory data (SCAN) for a PBEsol-optimized structure of SrLiCd2.

```
4
Lattice="4.868 0.000 0.000 0.000 4.855 0.000 -2.434 -2.428 4.366" Properties=species:S:1:pos:R:3 pbc="T T T"
Sr 0.000 2.428 0.000
Cd 2.434 2.428 2.178
Cd 0.000 0.000 2.188
Li 2.434 0.000 0.000
```

Computed properties:
Raw total energy (eV per atom): -21.6082
Relative energy among the computed polymorphs (meV/atom): 91
Formation energy (meV/atom): -234.7

---

[7]
Density functional theory data (SCAN) for a PBEsol-optimized structure of Cr2CoAg.

```
4
Lattice="2.534 0.000 0.000 0.000 2.534 0.000 0.000 0.000 7.628" Properties=species:S:1:pos:R:3 pbc="T T T"
Ag 0.000 0.000 3.880
Co 1.267 1.267 5.957
Cr 0.000 0.000 7.489
Cr 1.267 1.267 1.743
```

Computed properties:
Raw total energy (eV per atom): -20.8327
Relative energy among the computed polymorphs (meV/atom): 0
Formation energy (meV/atom): 527.5

---

[8]
Density functional theory data (SCAN) for a PBEsol-optimized structure of BaSr4Cl.

```
6
Lattice="7.801 0.000 0.000 3.901 6.756 0.000 3.901 2.252 6.370" Properties=species:S:1:pos:R:3 pbc="T T T"
Ba 11.702 6.756 4.777
Cl 0.000 0.000 0.000
Sr 5.867 3.387 2.395
Sr 7.801 4.504 5.554
Sr 9.736 3.387 2.395
Sr 7.801 6.738 2.395
```

Computed properties:
Formation energy without anion corrections (meV per atom): -28.5
Raw total energy (eV per atom): -22.8000

---

> Which of these has the lowest raw total energy?

CrIr2W

---

> The lowest raw total energy belongs to which entry?

CrIr2W

---

What did the seventh record say?
Density functional theory data (SCAN) for a PBEsol-optimized structure of Cr2CoAg.

```
4
Lattice="2.534 0.000 0.000 0.000 2.534 0.000 0.000 0.000 7.628" Properties=species:S:1:pos:R:3 pbc="T T T"
Ag 0.000 0.000 3.880
Co 1.267 1.267 5.957
Cr 0.000 0.000 7.489
Cr 1.267 1.267 1.743
```

Computed properties:
Raw total energy (eV per atom): -20.8327
Relative energy among the computed polymorphs (meV/atom): 0
Formation energy (meV/atom): 527.5

---

> The lowest raw total energy belongs to which entry?

CrIr2W